1.
# Sm12TmAl4O3

A relaxed Sm12TmAl4O3 crystal (PBE, Alexandria).

extended XYZ file:
```
20
Lattice="-5.0417 5.0417 5.0417 5.0417 -5.0417 5.0417 5.0417 5.0417 -5.0417" Properties=species:S:1:pos:R:3 pbc="T T T"
Sm 2.7606 0.0000 0.0000
Sm 7.3227 0.0000 0.0000
Sm 5.0417 2.5208 0.0000
Sm 5.0417 0.0000 2.5208
Sm 0.0000 2.7606 0.0000
Sm 0.0000 0.0000 2.7606
Sm 2.5208 5.0417 0.0000
Sm 2.5208 0.0000 5.0417
Sm 0.0000 7.3227 0.0000
Sm 0.0000 0.0000 7.3227
Sm 0.0000 5.0417 2.5208
Sm 0.0000 2.5208 5.0417
Tm 0.0000 0.0000 0.0000
Al 2.5208 2.5208 -2.5208
Al 2.5208 -2.5208 2.5208
Al -2.5208 2.5208 2.5208
Al 2.5208 2.5208 2.5208
O 5.0417 0.0000 0.0000
O 0.0000 5.0417 0.0000
O 0.0000 0.0000 5.0417
```

---

2.
# SmUAl2O8

A relaxed SmUAl2O8 crystal (PBE, Alexandria).

extended XYZ file:
```
12
Lattice="-3.4721 3.4721 3.2575 3.4721 -3.4721 3.2575 3.4721 3.4721 -3.2575" Properties=species:S:1:pos:R:3 pbc="T T T"
Sm 0.0000 0.0000 0.0000
U 0.0000 3.4721 1.6288
Al 3.4721 0.0000 1.6288
Al 0.0000 0.0000 3.2575
O 2.2625 0.0000 0.3584
O 4.6817 0.0000 0.3584
O 3.4721 2.1151 -1.1640
O 3.4721 -1.2096 2.8991
O 0.0000 1.3571 2.0935
O 3.4721 1.2096 2.8991
O 2.1151 3.4721 1.1640
O 1.3571 0.0000 4.4215
```

---

Across the entries above, Fermi-level density of states takes the values 13.70 6.65 states/eV/f.u., respectively.
Across the entries above, E_tot takes the values -104.67 -97.28 eV/cell, respectively.
Across the entries above, energy relative to the elements, uncorrected takes the values -686 -2844 meV/atom, respectively.